Record 1
DFT (PBE) results for a relaxed BaAg2SeBr8 crystal.

Lattice parameters (Å, degrees): 6.8782 7.4410 9.1109 69.75 89.64 81.55
Last column: nearest neighbours and their distance in Å.
Fractional coordinates of all 12 atoms:
Ba1 0.0000 0.0000 0.0000  6 Br 3.25-3.36
Ag1 0.4967 0.3242 0.1977  4 Br 2.62-2.84
Ag2 0.5033 0.6758 0.8023  4 Br 2.62-2.84
Se1 0.0000 0.0000 0.5000  6 Br 2.60-2.66
Br1 0.1055 0.2424 0.2319  1 Se 2.66, 1 Ag 2.84
Br2 0.1543 0.1929 0.6466  1 Se 2.60
Br3 0.3338 0.7691 0.5237  1 Se 2.62, 1 Ag 2.62
Br4 0.4296 0.7305 0.0727  2 Ag 2.67-2.80
Br5 0.5704 0.2695 0.9273  2 Ag 2.67-2.80
Br6 0.6662 0.2309 0.4763  1 Se 2.62, 1 Ag 2.62
Br7 0.8457 0.8071 0.3534  1 Se 2.60
Br8 0.8945 0.7576 0.7681  1 Se 2.66, 1 Ag 2.84

## Properties
- energy relative to the elements, uncorrected (eV/f.u.) = -8.12
- theoretical density (Mg/m³) = 4.12

Record 2
DFT (PBE) results for a relaxed BaAg2SnBr8 crystal.

Lattice parameters (Å, degrees): 6.9054 7.4462 9.2018 69.51 89.70 80.43
Last column: nearest neighbours and their distance in Å.
Fractional coordinates of all 12 atoms:
Ba1 0.0000 0.0000 0.0000  6 Br 3.24-3.35
Ag1 0.4884 0.3249 0.1942  4 Br 2.64-2.85
Ag2 0.5116 0.6751 0.8058  4 Br 2.64-2.85
Sn1 0.0000 0.0000 0.5000  6 Br 2.64-2.74
Br1 0.0949 0.2518 0.2225  1 Sn 2.74, 1 Ag 2.85
Br2 0.1457 0.2019 0.6464  1 Sn 2.65
Br3 0.3445 0.7744 0.5248  1 Sn 2.64, 1 Ag 2.64
Br4 0.4329 0.7319 0.0724  2 Ag 2.67-2.80
Br5 0.5671 0.2681 0.9276  2 Ag 2.67-2.80
Br6 0.6555 0.2256 0.4752  1 Sn 2.64, 1 Ag 2.64
Br7 0.8543 0.7981 0.3536  1 Sn 2.65
Br8 0.9051 0.7482 0.7775  1 Sn 2.74, 1 Ag 2.85

## Properties
- energy relative to the elements, uncorrected (eV/f.u.) = -10.75
- theoretical density (Mg/m³) = 4.23

Record 3
DFT (PBE) results for a relaxed BaTbAgBr6 crystal.

Lattice parameters (Å, degrees): 7.3797 7.3797 14.1317 90.00 90.00 120.00
Last column: nearest neighbours and their distance in Å.
Fractional coordinates of all 18 atoms:
Ba1 0.0000 0.0000 0.0000  6 Br 3.27
Ba2 0.0000 0.0000 0.5000  6 Br 3.27
Tb1 0.3333 0.6667 0.2500  6 Br 2.83
Tb2 0.6667 0.3333 0.7500  6 Br 2.83
Ag1 0.3333 0.6667 0.7500  6 Br 2.92
Ag2 0.6667 0.3333 0.2500  6 Br 2.92
Br1 0.0094 0.3662 0.1342  1 Tb 2.83, 1 Ag 2.92
Br2 0.0094 0.6432 0.3658  1 Tb 2.83, 1 Ag 2.92
Br3 0.3568 0.3662 0.3658  1 Tb 2.83, 1 Ag 2.92
Br4 0.3568 0.9906 0.1342  1 Tb 2.83, 1 Ag 2.92
Br5 0.3662 0.0094 0.6342  1 Tb 2.83, 1 Ag 2.92
Br6 0.3662 0.3568 0.8658  1 Tb 2.83, 1 Ag 2.92
Br7 0.6338 0.6432 0.1342  1 Tb 2.83, 1 Ag 2.92
Br8 0.6338 0.9906 0.3658  1 Tb 2.83, 1 Ag 2.92
Br9 0.6432 0.0094 0.8658  1 Tb 2.83, 1 Ag 2.92
Br10 0.6432 0.6338 0.6342  1 Tb 2.83, 1 Ag 2.92
Br11 0.9906 0.3568 0.6342  1 Tb 2.83, 1 Ag 2.92
Br12 0.9906 0.6338 0.8658  1 Tb 2.83, 1 Ag 2.92

## Properties
- energy relative to the elements, uncorrected (eV/f.u.) = -14.54
- theoretical density (Mg/m³) = 4.40

Record 4
DFT (PBE) results for a relaxed BaAgTeBr crystal.

Lattice parameters (Å, degrees): 5.0074 5.0074 10.1229 90.00 90.00 90.00
Last column: nearest neighbours and their distance in Å.
Fractional coordinates of all 8 atoms:
Ba1 0.2500 0.2500 0.2058  4 Br 3.26
Ba2 0.7500 0.7500 0.7942  4 Br 3.26
Ag1 0.2500 0.7500 0.5000  4 Te 2.96
Ag2 0.7500 0.2500 0.5000  4 Te 2.96
Te1 0.2500 0.2500 0.6558  4 Ag 2.96
Te2 0.7500 0.7500 0.3442  4 Ag 2.96
Br1 0.2500 0.7500 0.0000  4 Ba 3.26, 4 Br 3.54
Br2 0.7500 0.2500 0.0000  4 Ba 3.26, 4 Br 3.54

## Properties
- energy relative to the elements, uncorrected (eV/f.u.) = -5.04
- theoretical density (Mg/m³) = 5.92